Computed, not measured: a relaxed structure of CrCdBiW2 at the PBE-GGA level of DFT.

Output
Space-group type ... P4/mmm (123)
Formation energy from the elements ... 3.097 eV per atom
Total magnetization ... 2.15 μB per cell
D(E_F) ... 8.74 states/eV/cell

Unit cell a=4.951 b=4.951 c=5.316 alpha=90.00 beta=90.00 gamma=90.00
Sites, in units of the cell vectors:
Cr: 0.000 0.000 0.000
Cd: 0.500 0.500 0.500
Bi: 0.500 0.500 0.000
W: 0.000 0.500 0.500
W: 0.500 0.000 0.500

Computed, not measured: a relaxed structure of InC2Cl at the PBE-GGA level of DFT.

Output
Space-group type ... Fm-3m (225)
Polymorph energy (0 for the lowest one) ... 420 meV/atom
Total magnetization ... 0.00 μB per cell
D(E_F) ... 3.10 states/eV/cell
Uncorrected formation energy ... 254 kJ/mol of atoms

Unit cell a=4.323 b=4.323 c=4.323 alpha=60.00 beta=60.00 gamma=60.00
Sites, in units of the cell vectors:
In: 0.000 0.000 0.000
C: 0.250 0.250 0.250
C: 0.750 0.750 0.750
Cl: 0.500 0.500 0.500

Computed, not measured: a relaxed structure of GdErC2 at the PBE-GGA level of DFT.

Output
Space-group type ... R-3m (166)
Formation energy from the elements ... 0.057 eV per atom
Total magnetization ... 6.69 μB per cell
D(E_F) ... 4.40 states/eV/cell

Unit cell a=6.218 b=6.218 c=6.218 alpha=33.62 beta=33.62 gamma=33.62
Sites, in units of the cell vectors:
Gd: 0.000 0.000 0.000
Er: 0.500 0.500 0.500
C: 0.249 0.249 0.249
C: 0.751 0.751 0.751

Computed, not measured: a relaxed structure of YInCu at the PBE-GGA level of DFT.

Output
Space-group type ... Imm2 (44)
Formation energy from the elements ... -0.074 eV per atom
Total magnetization ... 0.00 μB per cell
D(E_F) ... 2.29 states/eV/cell

Unit cell a=5.252 b=5.252 c=5.252 alpha=142.46 beta=129.36 gamma=64.72
Sites, in units of the cell vectors:
Y: 0.000 0.000 0.000
In: 0.337 0.337 0.000
Cu: 0.661 0.661 0.000

Computed, not measured: a relaxed structure of KTlCu2Au at the PBE-GGA level of DFT.

Output
Space-group type ... P4/mmm (123)
Formation energy from the elements ... 0.681 eV per atom
Total magnetization ... 0.00 μB per cell
D(E_F) ... 1.66 states/eV/cell

Unit cell a=4.986 b=4.986 c=6.832 alpha=90.00 beta=90.00 gamma=90.00
Sites, in units of the cell vectors:
K: 0.000 0.000 0.000
Tl: 0.000 0.000 0.500
Cu: 0.000 0.500 0.500
Cu: 0.500 0.000 0.500
Au: 0.500 0.500 0.000

Computed, not measured: a relaxed structure of Sm6Tm2In at the PBE-GGA level of DFT.

Output
Space-group type ... P4_2/mnm (136)
Formation energy from the elements ... -0.069 eV per atom
Polymorph energy (0 for the lowest one) ... 0 meV/atom
Total magnetization ... 0.00 μB per cell
D(E_F) ... 27.22 states/eV/cell

Unit cell a=10.722 b=10.722 c=4.943 alpha=90.00 beta=90.00 gamma=90.00
Sites, in units of the cell vectors:
Sm: 0.002 0.333 0.000
Sm: 0.159 0.159 0.500
Sm: 0.167 0.502 0.500
Sm: 0.333 0.002 0.000
Sm: 0.341 0.659 0.000
Sm: 0.498 0.833 0.500
Sm: 0.502 0.167 0.500
Sm: 0.659 0.341 0.000
Sm: 0.667 0.998 0.000
Sm: 0.833 0.498 0.500
Sm: 0.841 0.841 0.500
Sm: 0.998 0.667 0.000
Tm: 0.163 0.837 0.500
Tm: 0.337 0.337 0.000
Tm: 0.663 0.663 0.000
Tm: 0.837 0.163 0.500
In: 0.000 0.000 0.000
In: 0.500 0.500 0.500

Computed, not measured: a relaxed structure of NbNi2HgPb at the PBE-GGA level of DFT.

Output
Space-group type ... P4/mmm (123)
Formation energy from the elements ... 1.496 eV per atom
Total magnetization ... 0.02 μB per cell
D(E_F) ... 6.80 states/eV/cell

Unit cell a=4.658 b=4.658 c=5.379 alpha=90.00 beta=90.00 gamma=90.00
Sites, in units of the cell vectors:
Nb: 0.000 0.000 0.000
Ni: 0.000 0.500 0.500
Ni: 0.500 0.000 0.500
Hg: 0.500 0.500 0.500
Pb: 0.500 0.500 0.000

Computed, not measured: a relaxed structure of Li3VIr at the PBE-GGA level of DFT.

Output
Space-group type ... Pm-3m (221)
Formation energy from the elements ... 0.877 eV per atom
Polymorph energy (0 for the lowest one) ... 0 meV/atom
Total magnetization ... 3.77 μB per cell
D(E_F) ... 6.07 states/eV/cell

Unit cell a=4.549 b=4.549 c=4.549 alpha=90.00 beta=90.00 gamma=90.00
Sites, in units of the cell vectors:
Li: 0.000 0.000 0.500
Li: 0.000 0.500 0.000
Li: 0.500 0.000 0.000
V: 0.500 0.500 0.500
Ir: 0.000 0.000 0.000

Computed, not measured: a relaxed structure of NaIr3C at the PBE-GGA level of DFT.

Output
Space-group type ... Pm-3m (221)
Formation energy from the elements ... 3.693 eV per atom
Polymorph energy (0 for the lowest one) ... 3307 meV/atom
Total magnetization ... 0.00 μB per cell
D(E_F) ... 5.50 states/eV/cell

Unit cell a=4.474 b=4.474 c=4.474 alpha=90.00 beta=90.00 gamma=90.00
Sites, in units of the cell vectors:
Na: 0.000 0.000 0.000
Ir: 0.000 0.000 0.500
Ir: 0.000 0.500 0.000
Ir: 0.500 0.000 0.000
C: 0.500 0.500 0.500

Computed, not measured: a relaxed structure of Ce2TmGa at the PBE-GGA level of DFT.

Output
Space-group type ... P2_1/m (11)
Formation energy from the elements ... -0.280 eV per atom
Polymorph energy (0 for the lowest one) ... 0 meV/atom
Total magnetization ... 0.00 μB per cell
D(E_F) ... 11.95 states/eV/cell

Unit cell a=4.341 b=4.255 c=11.087 alpha=90.00 beta=100.44 gamma=90.00
Sites, in units of the cell vectors:
Ce: 0.015 0.250 0.123
Ce: 0.395 0.250 0.873
Ce: 0.605 0.750 0.127
Ce: 0.985 0.750 0.877
Tm: 0.302 0.750 0.601
Tm: 0.698 0.250 0.399
Ga: 0.177 0.750 0.332
Ga: 0.823 0.250 0.668

Computed, not measured: a relaxed structure of PuNpGe4 at the PBE-GGA level of DFT.

Output
Space-group type ... F-43m (216)
Formation energy from the elements ... -0.115 eV per atom
Total magnetization ... 1.61 μB per cell
D(E_F) ... 20.78 states/eV/cell

Unit cell a=5.507 b=5.507 c=5.507 alpha=60.00 beta=60.00 gamma=60.00
Sites, in units of the cell vectors:
Pu: 0.000 0.000 0.000
Np: 0.250 0.250 0.250
Ge: 0.125 0.625 0.625
Ge: 0.625 0.125 0.625
Ge: 0.625 0.625 0.125
Ge: 0.625 0.625 0.625

Computed, not measured: a relaxed structure of ZnCdRu2 at the PBE-GGA level of DFT.

Output
Space-group type ... Pmm2 (25)
Formation energy from the elements ... 0.143 eV per atom
Total magnetization ... 0.00 μB per cell
D(E_F) ... 2.45 states/eV/cell

Unit cell a=2.842 b=3.534 c=6.285 alpha=90.00 beta=90.00 gamma=90.00
Sites, in units of the cell vectors:
Zn: 0.000 0.000 0.000
Cd: 0.500 0.500 0.279
Ru: 0.000 0.000 0.568
Ru: 0.500 0.500 0.769

no.,VASP energy (Ry per atom)
1,-0.36519
2,-0.23007
3,-0.67736
4,-0.33124
5,-0.16946
6,-0.33171
7,-0.26695
8,-0.28422
9,-0.27428
10,-0.37642
11,-0.56876
12,-0.37063